# 1
Material: Y2AgH2
Method: DFT, GGA-PBEsol
State: relaxed

abc: 3.6005 3.6005 12.2390
angles: 90.00 90.00 90.00
Space group I4/mmm (No. 139)
Unique sites:
1 Y 0.0000 0.0000 0.1476 (multiplicity 4)
2 Ag 0.0000 0.0000 0.5000 (multiplicity 2)
3 H 0.0000 0.5000 0.2500 (multiplicity 4)

Calculated values
Total DFT energy (no corrections) = -26.47 eV/f.u.
ρ = 6.022 Mg/m³



# 2
Material: Er3Ge2Rh2
Method: DFT, GGA-PBEsol
State: relaxed

abc: 5.4800 7.5997 13.0070
angles: 90.00 90.00 90.00
Space group Pbcm (No. 57)
Unique sites:
1 Er 0.1286 0.2371 0.2500 (multiplicity 4)
2 Er 0.3543 0.6025 0.0997 (multiplicity 8)
3 Ge 0.1705 0.2500 0.0000 (multiplicity 4)
4 Ge 0.3754 0.6136 0.7500 (multiplicity 4)
5 Rh 0.1263 0.5459 0.5925 (multiplicity 8)

Calculated values
Formation energy = -0.96 eV/atom
Total DFT energy (no corrections) = -47.69 eV/f.u.
ρ = 10.458 Mg/m³



# 3
Material: LaMoSe2
Method: DFT, GGA-PBEsol
State: relaxed

abc: 5.4094 5.4094 14.5482
angles: 90.00 90.00 90.00
Space group I-42d (No. 122)
Unique sites:
1 La 0.0000 0.0000 0.0000 (multiplicity 4)
2 Mo 0.0000 0.0000 0.5000 (multiplicity 4)
3 Se 0.1631 0.2500 0.6250 (multiplicity 8)

Calculated values
Offset from the most stable computed form = 0.185 eV per atom
Total DFT energy (no corrections) = -26.79 eV/f.u.
ρ = 6.128 Mg/m³



# 4
Material: BaAlB4H3O10
Method: DFT, GGA-PBEsol
State: relaxed

abc: 12.3878 7.1424 19.0710
angles: 90.00 107.76 90.00
Space group C2/c (No. 15)
Unique sites:
1 Ba 0.2024 0.1823 0.1016 (multiplicity 8)
2 Al 0.1484 0.1854 0.4432 (multiplicity 8)
3 B 0.0058 0.4930 0.0776 (multiplicity 8)
4 B 0.0539 0.1830 0.9284 (multiplicity 8)
5 B 0.1525 0.2541 0.6032 (multiplicity 8)
6 B 0.1634 0.2320 0.2940 (multiplicity 8)
7 H 0.0329 0.2039 0.1985 (multiplicity 8)
8 H 0.1028 0.0710 0.7957 (multiplicity 8)
9 H 0.1575 0.1850 0.7416 (multiplicity 8)
10 O 0.0203 0.3109 0.4382 (multiplicity 8)
11 O 0.0555 0.1242 0.5893 (multiplicity 8)
12 O 0.0806 0.3743 0.9297 (multiplicity 8)
13 O 0.1028 0.1748 0.3390 (multiplicity 8)
14 O 0.1170 0.4512 0.5983 (multiplicity 8)
15 O 0.1177 0.2295 0.2183 (multiplicity 8)
16 O 0.1317 0.1942 0.7866 (multiplicity 8)
17 O 0.1445 0.0663 0.9509 (multiplicity 8)
18 O 0.2132 0.2140 0.5497 (multiplicity 8)
19 O 0.2254 0.2077 0.6785 (multiplicity 8)

Calculated values
Total DFT energy (no corrections) = -141.00 eV/f.u.
ρ = 3.063 Mg/m³



# 5
Material: YHI3
Method: DFT, GGA-PBEsol
State: relaxed

abc: 5.9307 5.9307 5.9307
angles: 90.00 90.00 90.00
Space group Pm-3m (No. 221)
Unique sites:
1 Y 0.0000 0.0000 0.0000 (multiplicity 1)
2 H 0.5000 0.5000 0.5000 (multiplicity 1)
3 I 0.0000 0.0000 0.5000 (multiplicity 3)

Calculated values
Offset from the most stable computed form = 0.000 eV per atom
Total DFT energy (no corrections) = -18.08 eV/f.u.
ρ = 3.746 Mg/m³



# 6
Material: TcW3Au
Method: DFT, GGA-PBEsol
State: relaxed

abc: 4.7036 4.7036 4.7036
angles: 90.00 90.00 90.00
Space group Pm-3m (No. 221)
Unique sites:
1 Tc 0.0000 0.0000 0.0000 (multiplicity 1)
2 W 0.0000 0.5000 0.5000 (multiplicity 3)
3 Au 0.5000 0.5000 0.5000 (multiplicity 1)

Calculated values
Formation energy = 3.05 eV/atom
Total DFT energy (no corrections) = -41.36 eV/f.u.
ρ = 13.508 Mg/m³



# 7
Material: MgCdAg2
Method: DFT, GGA-PBEsol
State: relaxed

abc: 4.3176 4.3176 3.8444
angles: 90.00 90.00 90.00
Space group P4/mmm (No. 123)
Unique sites:
1 Mg 0.0000 0.0000 0.0000 (multiplicity 1)
2 Cd 0.5000 0.5000 0.0000 (multiplicity 1)
3 Ag 0.0000 0.5000 0.5000 (multiplicity 2)

Calculated values
Formation energy = -0.17 eV/atom
Total DFT energy (no corrections) = -10.22 eV/f.u.
ρ = 8.167 Mg/m³



# 8
Material: La2MoP2
Method: DFT, GGA-PBEsol
State: relaxed

abc: 3.4655 3.4655 17.8848
angles: 90.00 90.00 90.00
Space group I4/mmm (No. 139)
Unique sites:
1 La 0.0000 0.0000 0.1087 (multiplicity 4)
2 Mo 0.0000 0.0000 0.5000 (multiplicity 2)
3 P 0.0000 0.5000 0.2500 (multiplicity 4)

Calculated values
Formation energy = -0.04 eV/atom
Total DFT energy (no corrections) = -34.24 eV/f.u.
ρ = 6.737 Mg/m³



# 9
Material: CdAgMo
Method: DFT, GGA-PBEsol
State: relaxed

abc: 2.8187 2.8187 7.3098
angles: 90.00 90.00 120.00
Space group P3m1 (No. 156)
Unique sites:
1 Cd 0.0000 0.0000 0.0000 (multiplicity 1)
2 Ag 0.6667 0.3333 0.3374 (multiplicity 1)
3 Mo 0.3333 0.6667 0.6598 (multiplicity 1)

Calculated values
Formation energy = 0.35 eV/atom
Offset from the most stable computed form = 0.035 eV per atom
Total DFT energy (no corrections) = -15.22 eV/f.u.
ρ = 10.440 Mg/m³



# 10
Material: ZnBiRh3
Method: DFT, GGA-PBEsol
State: relaxed

abc: 4.4959 4.4959 4.4959
angles: 90.00 90.00 90.00
Space group Pm-3m (No. 221)
Unique sites:
1 Zn 0.0000 0.0000 0.0000 (multiplicity 1)
2 Bi 0.5000 0.5000 0.5000 (multiplicity 1)
3 Rh 0.0000 0.0000 0.5000 (multiplicity 3)

Calculated values
Formation energy = 0.74 eV/atom
Total DFT energy (no corrections) = -26.58 eV/f.u.
ρ = 10.655 Mg/m³



# 11
Material: BeAs3Ru
Method: DFT, GGA-PBEsol
State: relaxed

abc: 4.3052 4.3052 4.3052
angles: 90.00 90.00 90.00
Space group Pm-3m (No. 221)
Unique sites:
1 Be 0.0000 0.0000 0.0000 (multiplicity 1)
2 As 0.0000 0.0000 0.5000 (multiplicity 3)
3 Ru 0.5000 0.5000 0.5000 (multiplicity 1)

Calculated values
Formation energy = 0.84 eV/atom
Total DFT energy (no corrections) = -25.31 eV/f.u.
ρ = 6.968 Mg/m³



# 12
Material: LiY2H2
Method: DFT, GGA-PBEsol
State: relaxed

abc: 3.7183 3.7183 12.3722
angles: 90.00 90.00 90.00
Space group I4/mmm (No. 139)
Unique sites:
1 Li 0.0000 0.0000 0.0000 (multiplicity 2)
2 Y 0.0000 0.0000 0.3445 (multiplicity 4)
3 H 0.0000 0.5000 0.2500 (multiplicity 4)

Calculated values
Total DFT energy (no corrections) = -24.19 eV/f.u.
ρ = 3.626 Mg/m³